Y2Pd2Cl: optimized geometry, GGA-PBE.

Unit cell a=8.0202 b=8.0202 c=3.5124 alpha=90.00 beta=90.00 gamma=90.00
Closest atoms and distances in Å follow each position.
Atoms (fractional coordinates):
Y 0.1697 0.6697 0.5000  6 Pd 2.93-2.96
Y 0.6697 0.8303 0.5000  6 Pd 2.93-2.96
Y 0.8303 0.3303 0.5000  6 Pd 2.93-2.96
Y 0.3303 0.1697 0.5000  6 Pd 2.93-2.96
Pd 0.3764 0.8764 0.0000  1 Pd 2.80, 6 Y 2.93-2.96
Pd 0.8764 0.6236 0.0000  1 Pd 2.80, 6 Y 2.93-2.96
Pd 0.6236 0.1236 0.0000  1 Pd 2.80, 6 Y 2.93-2.96
Pd 0.1236 0.3764 0.0000  1 Pd 2.80, 6 Y 2.93-2.96
Cl 0.0000 0.0000 0.0000  4 Pd 3.18, 8 Y 3.46, 2 Cl 3.51
Cl 0.5000 0.5000 0.0000  4 Pd 3.18, 8 Y 3.46, 2 Cl 3.51

Results
As for the electronic total energy: -5.92 eV per atom. Its uncorrected formation energy is -4.4 eV per formula unit. Its space group is P4/mbm. As for the density of states at the Fermi level: 0.573 states/eV per atom. The value obtained for the polymorph energy (0 for the lowest one) is 140 meV/atom.